# MnCu2F6 | Alexandria | GGA+U | relaxed
data_MnCu2F6
_chemical_formula_sum 'Mn4 Cu8 F24'
_cell_length_a 9.6699
_cell_length_b 10.3792
_cell_length_c 4.6259
_cell_angle_alpha 90.00
_cell_angle_beta 101.53
_cell_angle_gamma 90.00
_space_group_name_H-M_alt 'C 1 2/c 1'
_space_group_IT_number 15
loop_
_space_group_symop_operation_xyz
'x,y,z'
'-x,-y,-z'
'-x,y,-z+1/2'
'x,-y,z+1/2'
'x+1/2,y+1/2,z'
'-x+1/2,-y+1/2,-z'
'-x+1/2,y+1/2,-z+1/2'
'x+1/2,-y+1/2,z+1/2'
loop_
_atom_site_label
_atom_site_type_symbol
_atom_site_fract_x
_atom_site_fract_y
_atom_site_fract_z
Mn1 Mn 0.0000 0.0885 0.2500
Cu1 Cu 0.1271 0.3967 0.1071
F1 F 0.1139 0.0555 0.6366
F2 F 0.1196 0.2140 0.1315
F3 F 0.1206 0.4183 0.5973
# * Fermi-level density of states: 3.3 states/eV/f.u.
# * total magnetic moment: 12.0 μB/cell
# * E above lowest polymorph: 253 meV/atom